Here is a relaxed Tb6Pr8Ho crystal from the Alexandria database. Energies are from PBE-GGA.

V, Å³ per cell: 515
ΔE_f, eV per atom: 0.16
Size of the total moment, μB per cell: 0.0
Symmetry: R-3, No. 148

Cell: 9.9317 9.9317 8.3168 Å, 53.34 53.34 60.00°
Last column: nearest neighbours and their distance in Å.
Fractional positions:
Pr1 0.3545 0.2258 0.4878  3 Tb 3.39-3.62, 4 Pr 3.73-3.74, 1 Ho 3.76
Pr2 0.0680 0.6455 0.5122  3 Tb 3.39-3.62, 4 Pr 3.73-3.74, 1 Ho 3.76
Tb1 0.2840 0.6109 0.0291  2 Pr 3.13-3.39, 1 Ho 3.43, 2 Tb 3.44
Tb2 0.3891 0.9240 0.9709  2 Pr 3.13-3.39, 1 Ho 3.43, 2 Tb 3.44
Pr3 0.5870 0.5870 0.2391  3 Tb 3.13, 1 Pr 3.14
Tb3 0.7160 0.3891 0.9709  2 Pr 3.13-3.39, 1 Ho 3.43, 2 Tb 3.44
Pr4 0.4130 0.4130 0.7609  3 Tb 3.13, 1 Pr 3.14
Tb4 0.0760 0.2840 0.0291  2 Pr 3.13-3.39, 1 Ho 3.43, 2 Tb 3.44
Pr5 0.6455 0.7742 0.5122  3 Tb 3.39-3.62, 4 Pr 3.73-3.74, 1 Ho 3.76
Tb5 0.9240 0.7160 0.9709  2 Pr 3.13-3.39, 1 Ho 3.43, 2 Tb 3.44
Ho1 0.0000 0.0000 0.0000  6 Tb 3.43, 6 Pr 3.76
Pr6 0.9320 0.3545 0.4878  3 Tb 3.39-3.62, 4 Pr 3.73-3.74, 1 Ho 3.76
Pr7 0.7742 0.0680 0.5122  3 Tb 3.39-3.62, 4 Pr 3.73-3.74, 1 Ho 3.76
Pr8 0.2258 0.9320 0.4878  3 Tb 3.39-3.62, 4 Pr 3.73-3.74, 1 Ho 3.76
Tb6 0.6109 0.0760 0.0291  2 Pr 3.13-3.39, 1 Ho 3.43, 2 Tb 3.44

Here is a relaxed Tb4Pr3Ho4 crystal from the Alexandria database. Energies are from PBE-GGA.

V, Å³ per cell: 369
ΔE_f, eV per atom: 0.16
Size of the total moment, μB per cell: 0.0
Symmetry: Amm2, No. 38

Cell: 5.7328 6.6781 10.6696 Å, 90.00 90.00 115.42°
Last column: nearest neighbours and their distance in Å.
Fractional positions:
Tb1 0.7515 0.5029 0.7854  4 Ho 3.28-3.49, 2 Tb 3.38-3.47, 4 Pr 3.53-3.67
Ho1 0.6162 0.2325 0.5000  3 Tb 3.29-3.45, 2 Pr 3.35, 4 Ho 3.60
Ho2 0.1032 0.2064 0.7032  4 Tb 3.37-3.62, 2 Ho 3.60, 4 Pr 3.66-3.71
Ho3 0.1032 0.2064 0.2968  4 Tb 3.37-3.62, 2 Ho 3.60, 4 Pr 3.66-3.71
Pr1 0.2548 0.5095 0.0000  7 Tb 3.59-3.77, 2 Pr 3.62, 5 Ho 3.64-3.73
Tb2 0.7515 0.5029 0.2146  4 Ho 3.28-3.49, 2 Tb 3.38-3.47, 4 Pr 3.53-3.67
Pr2 0.4077 0.8154 0.7076  5 Ho 3.35-3.71, 4 Tb 3.53-3.63, 1 Pr 3.62
Tb3 0.9572 0.9145 0.0000  2 Ho 3.11, 2 Tb 3.38
Tb4 0.8888 0.7777 0.5000  3 Ho 3.29-3.37, 2 Tb 3.47, 4 Pr 3.63
Pr3 0.4077 0.8154 0.2924  5 Ho 3.35-3.71, 4 Tb 3.53-3.63, 1 Pr 3.62
Ho4 0.5566 0.1132 0.0000  4 Tb 3.11-3.28

Here is a relaxed Tb12Pr2Ho5 crystal from the Alexandria database. Energies are from PBE-GGA.

V, Å³ per cell: 618
ΔE_f, eV per atom: 0.09
Size of the total moment, μB per cell: 0.0
Symmetry: P-1, No. 2

Cell: 6.7331 11.6505 11.3854 Å, 134.92 87.76 100.12°
Last column: nearest neighbours and their distance in Å.
Fractional positions:
Tb1 0.1146 0.8495 0.0926  5 Tb 3.43-3.62, 2 Pr 3.43-3.73, 3 Ho 3.44-3.81
Pr1 0.1169 0.2578 0.2452  6 Tb 3.27-3.60, 2 Ho 3.50-3.55
Ho1 0.0000 0.0000 0.5000  8 Tb 3.49-3.73, 4 Ho 3.78-3.83
Tb2 0.3816 0.2178 0.4659  6 Tb 3.34-3.66, 5 Ho 3.42-3.65, 1 Pr 3.46
Tb3 0.1113 0.6906 0.4660  1 Pr 3.27, 5 Tb 3.29-3.57, 3 Ho 3.56-3.64
Tb4 0.6184 0.7822 0.5341  6 Tb 3.34-3.66, 5 Ho 3.42-3.65, 1 Pr 3.46
Tb5 0.1623 0.4420 0.8573  6 Tb 3.29-3.64, 1 Ho 3.61
Tb6 0.8854 0.1505 0.9074  5 Tb 3.43-3.62, 2 Pr 3.43-3.73, 3 Ho 3.44-3.81
Tb7 0.6464 0.9739 0.1148  6 Tb 3.42-3.76, 2 Pr 3.46-3.60, 3 Ho 3.54-3.81
Ho2 0.3453 0.6155 0.6838  9 Tb 3.44-3.81, 3 Pr 3.50-3.69, 1 Ho 3.81
Tb8 0.8377 0.5580 0.1427  6 Tb 3.29-3.64, 1 Ho 3.61
Pr2 0.8831 0.7422 0.7548  6 Tb 3.27-3.60, 2 Ho 3.50-3.55
Ho3 0.5455 0.1827 0.7180  8 Tb 3.38-3.77, 2 Ho 3.55-3.78
Tb9 0.3536 0.0261 0.8852  6 Tb 3.42-3.76, 2 Pr 3.46-3.60, 3 Ho 3.54-3.81
Tb10 0.8887 0.3094 0.5340  1 Pr 3.27, 5 Tb 3.29-3.57, 3 Ho 3.56-3.64
Ho4 0.6547 0.3845 0.3162  9 Tb 3.44-3.81, 3 Pr 3.50-3.69, 1 Ho 3.81
Tb11 0.3402 0.4294 0.1168  6 Tb 3.34-3.66, 1 Pr 3.36, 3 Ho 3.38-3.64
Tb12 0.6598 0.5706 0.8832  6 Tb 3.34-3.66, 1 Pr 3.36, 3 Ho 3.38-3.64
Ho5 0.4545 0.8173 0.2820  8 Tb 3.38-3.77, 2 Ho 3.55-3.78

Here is a relaxed TbPr5Ho5 crystal from the Alexandria database. Energies are from PBE-GGA.

V, Å³ per cell: 377
ΔE_f, eV per atom: 0.26
Size of the total moment, μB per cell: 0.4
Symmetry: C2/m, No. 12

Cell: 6.0208 9.9851 7.0763 Å, 110.60 90.00 107.55°
Last column: nearest neighbours and their distance in Å.
Fractional positions:
Ho1 0.6218 0.2437 0.6232  4 Ho 3.63-3.70, 6 Pr 3.64-3.98
Pr1 0.8243 0.6486 0.0680  6 Ho 3.29-3.64, 2 Pr 3.46-3.62, 1 Tb 3.55
Pr2 0.5000 0.0000 0.0000  2 Ho 2.99, 2 Tb 3.01
Ho2 0.0000 0.0000 0.5000  2 Tb 3.54, 4 Pr 3.59-3.60, 4 Ho 3.70
Tb1 0.0000 0.0000 0.0000  2 Pr 3.01
Pr3 0.1756 0.3512 0.4202  6 Ho 3.29-3.64, 2 Pr 3.46-3.62, 1 Tb 3.56
Pr4 0.1757 0.3514 0.9320  6 Ho 3.29-3.64, 2 Pr 3.46-3.62, 1 Tb 3.55
Ho3 0.3311 0.6622 0.8301  3 Pr 2.99-3.29
Pr5 0.8244 0.6488 0.5798  6 Ho 3.29-3.64, 2 Pr 3.46-3.62, 1 Tb 3.56
Ho4 0.3782 0.7563 0.3768  4 Ho 3.63-3.70, 6 Pr 3.64-3.98
Ho5 0.6689 0.3378 0.1699  3 Pr 2.99-3.29

Here is a relaxed Tb5Pr3Ho3 crystal from the Alexandria database. Energies are from PBE-GGA.

V, Å³ per cell: 441
ΔE_f, eV per atom: 0.80
Size of the total moment, μB per cell: 0.0
Symmetry: P-62m, No. 189

Cell: 5.4178 9.6913 9.6913 Å, 120.00 90.00 90.00°
Last column: nearest neighbours and their distance in Å.
Fractional positions:
Ho1 0.0000 0.4616 0.4616  2 Pr 3.20, 2 Tb 3.31
Ho2 0.0000 0.5384 0.0000  2 Pr 3.20, 2 Tb 3.31
Pr1 0.5000 0.0000 0.3632  4 Tb 3.10-3.16, 2 Ho 3.20
Tb1 0.5000 0.6667 0.3333  3 Pr 3.10
Pr2 0.5000 0.6368 0.6368  4 Tb 3.10-3.16, 2 Ho 3.20
Tb2 0.5000 0.3333 0.6667  3 Pr 3.10
Ho3 0.0000 0.0000 0.5384  2 Pr 3.20, 2 Tb 3.31
Tb3 0.5000 0.0000 0.7344  2 Pr 3.16, 2 Ho 3.31
Tb4 0.5000 0.2656 0.2656  2 Pr 3.16, 2 Ho 3.31
Tb5 0.5000 0.7344 0.0000  2 Pr 3.16, 2 Ho 3.31
Pr3 0.5000 0.3632 0.0000  4 Tb 3.10-3.16, 2 Ho 3.20

Here is a relaxed Tb6Pr5Ho crystal from the Alexandria database. Energies are from PBE-GGA.

V, Å³ per cell: 403
ΔE_f, eV per atom: 0.02
Size of the total moment, μB per cell: 0.0
Symmetry: Immm, No. 71

Cell: 5.1331 10.1986 9.5848 Å, 122.15 105.53 90.00°
Last column: nearest neighbours and their distance in Å.
Fractional positions:
Pr1 0.3350 0.8348 0.6697  8 Tb 3.59-3.65, 2 Ho 3.61, 2 Pr 3.64-3.65
Pr2 0.6650 0.1652 0.3303  8 Tb 3.59-3.65, 2 Ho 3.61, 2 Pr 3.64-3.65
Tb1 0.5000 0.7521 0.0000  6 Pr 3.59-3.63, 2 Ho 3.60, 4 Tb 3.62
Tb2 0.1660 0.9173 0.3321  1 Ho 3.60, 7 Pr 3.61-3.65, 4 Tb 3.62-3.64
Pr3 0.0000 0.5000 0.0000  8 Tb 3.62-3.63, 4 Pr 3.63
Tb3 0.1660 0.4147 0.3321  1 Ho 3.60, 7 Pr 3.61-3.65, 4 Tb 3.62-3.64
Pr4 0.6666 0.6667 0.3334  8 Tb 3.61-3.63, 4 Pr 3.63-3.65
Pr5 0.3334 0.3333 0.6666  8 Tb 3.61-3.63, 4 Pr 3.63-3.65
Ho1 0.0000 0.0000 0.0000  8 Tb 3.60, 4 Pr 3.61
Tb4 0.8340 0.5853 0.6679  1 Ho 3.60, 7 Pr 3.61-3.65, 4 Tb 3.62-3.64
Tb5 0.8340 0.0827 0.6679  1 Ho 3.60, 7 Pr 3.61-3.65, 4 Tb 3.62-3.64
Tb6 0.5000 0.2479 0.0000  6 Pr 3.59-3.63, 2 Ho 3.60, 4 Tb 3.62

Here is a relaxed TbPr2Ho2 crystal from the Alexandria database. Energies are from PBE-GGA.

V, Å³ per cell: 353
ΔE_f, eV per atom: 0.29
Size of the total moment, μB per cell: 0.0
Symmetry: Cmcm, No. 63

Cell: 6.2791 6.9015 8.8536 Å, 112.94 90.00 90.00°
Last column: nearest neighbours and their distance in Å.
Fractional positions:
Pr1 0.2500 0.6002 0.2005  2 Pr 3.64, 4 Ho 3.79
Ho1 0.7500 0.9308 0.3399  1 Pr 3.17, 1 Ho 3.30
Ho2 0.7500 0.4090 0.3399  1 Pr 3.17, 1 Ho 3.30
Ho3 0.2500 0.0692 0.6601  1 Pr 3.17, 1 Ho 3.30
Tb1 0.5000 0.0000 0.0000  2 Tb 3.14, 2 Pr 3.19
Pr2 0.2500 0.1704 0.3408  2 Ho 3.17, 2 Tb 3.19
Tb2 0.0000 0.0000 0.0000  2 Tb 3.14, 2 Pr 3.19
Pr3 0.7500 0.8296 0.6592  2 Ho 3.17, 2 Tb 3.19
Ho4 0.2500 0.5910 0.6601  1 Pr 3.17, 1 Ho 3.30
Pr4 0.7500 0.3998 0.7995  2 Pr 3.64, 4 Ho 3.79

Here is a relaxed Tb3Pr2Ho8 crystal from the Alexandria database. Energies are from PBE-GGA.

V, Å³ per cell: 439
ΔE_f, eV per atom: 0.24
Size of the total moment, μB per cell: 0.0
Symmetry: P2/m, No. 10

Cell: 5.5291 7.6297 11.0759 Å, 110.20 90.00 90.00°
Last column: nearest neighbours and their distance in Å.
Fractional positions:
Tb1 0.0000 0.2886 0.0002  3 Tb 3.23-3.53, 6 Ho 3.45-3.54
Ho1 0.0000 0.1276 0.2550  4 Tb 3.45-3.83, 4 Ho 3.55-3.56, 2 Pr 3.63
Ho2 0.0001 0.6612 0.3215  4 Ho 3.40, 2 Pr 3.44, 2 Tb 3.71
Pr1 0.5001 0.7599 0.5192  8 Ho 3.44-3.63, 2 Pr 3.83-3.84
Ho3 0.5000 0.6059 0.7872  1 Tb 3.11, 3 Ho 3.24-3.40
Pr2 0.4999 0.2401 0.4808  8 Ho 3.44-3.63, 2 Pr 3.83-3.84
Ho4 0.5000 0.8193 0.2128  1 Tb 3.11, 3 Ho 3.24-3.40
Ho5 0.5000 0.1807 0.7872  1 Tb 3.11, 3 Ho 3.24-3.40
Ho6 0.0000 0.8724 0.7450  4 Tb 3.45-3.83, 4 Ho 3.55-3.56, 2 Pr 3.63
Tb2 0.0000 0.7114 0.9998  3 Tb 3.23-3.53, 6 Ho 3.45-3.54
Ho7 0.5000 0.3941 0.2128  1 Tb 3.11, 3 Ho 3.24-3.40
Tb3 0.5000 0.0000 0.0000  4 Ho 3.11
Ho8 0.9999 0.3388 0.6785  4 Ho 3.40, 2 Pr 3.44, 2 Tb 3.71

Here is a relaxed Tb4Pr4Ho3 crystal from the Alexandria database. Energies are from PBE-GGA.

V, Å³ per cell: 376
ΔE_f, eV per atom: 0.12
Size of the total moment, μB per cell: 0.0
Symmetry: Immm, No. 71

Cell: 3.6304 9.5033 12.0353 Å, 113.25 98.68 90.00°
Last column: nearest neighbours and their distance in Å.
Fractional positions:
Tb1 0.7388 0.2383 0.4766  2 Ho 3.40-3.41, 6 Pr 3.56-3.69, 2 Tb 3.63
Pr1 0.3562 0.5330 0.7110  3 Pr 3.37-3.63, 4 Tb 3.42-3.69, 2 Ho 3.66
Ho1 0.0000 0.5000 0.0000  4 Tb 3.52, 2 Ho 3.63
Ho2 0.8939 0.8937 0.7875  6 Tb 3.40-3.42, 2 Ho 3.63, 4 Pr 3.66
Tb2 0.2612 0.7617 0.5234  2 Ho 3.40-3.41, 6 Pr 3.56-3.69, 2 Tb 3.63
Pr2 0.6438 0.4670 0.2890  3 Pr 3.37-3.63, 4 Tb 3.42-3.69, 2 Ho 3.66
Tb3 0.5000 0.1832 0.0000  2 Pr 3.42, 6 Ho 3.42-3.52, 3 Tb 3.48-3.63
Ho3 0.1061 0.1063 0.2125  6 Tb 3.40-3.42, 2 Ho 3.63, 4 Pr 3.66
Tb4 0.5000 0.8168 0.0000  2 Pr 3.42, 6 Ho 3.42-3.52, 3 Tb 3.48-3.63
Pr3 0.3562 0.1781 0.7110  3 Pr 3.37-3.63, 4 Tb 3.42-3.69, 2 Ho 3.66
Pr4 0.6438 0.8219 0.2890  3 Pr 3.37-3.63, 4 Tb 3.42-3.69, 2 Ho 3.66

Here is a relaxed Tb4PrHo4 crystal from the Alexandria database. Energies are from PBE-GGA.

V, Å³ per cell: 576
ΔE_f, eV per atom: 0.00
Size of the total moment, μB per cell: 0.0
Symmetry: P-1, No. 2

Cell: 8.8653 10.2060 12.4279 Å, 84.22 76.42 142.81°
Last column: nearest neighbours and their distance in Å.
Fractional positions:
Pr1 0.4996 0.4995 0.7498  8 Ho 3.55-3.59, 4 Tb 3.55-3.56
Ho1 0.1650 0.4994 0.6378  7 Tb 3.52-3.61, 4 Ho 3.53-3.57, 1 Pr 3.56
Ho2 0.8321 0.8326 0.4170  6 Ho 3.54-3.59, 3 Tb 3.55-3.56, 3 Pr 3.58-3.59
Pr2 0.5004 0.5005 0.2502  8 Ho 3.55-3.59, 4 Tb 3.55-3.56
Ho3 0.8337 0.8331 0.9164  5 Tb 3.54-3.55, 4 Ho 3.54-3.59, 3 Pr 3.58-3.59
Ho4 0.4998 0.8342 0.3062  7 Tb 3.51-3.60, 4 Ho 3.53-3.57, 1 Pr 3.55
Tb1 0.1647 0.4996 0.1388  6 Tb 3.53-3.60, 5 Ho 3.53-3.60, 1 Pr 3.56
Tb2 0.8353 0.5004 0.8612  6 Tb 3.53-3.60, 5 Ho 3.53-3.60, 1 Pr 3.56
Tb3 0.8306 0.1655 0.4731  8 Ho 3.51-3.60, 3 Tb 3.52-3.60, 1 Pr 3.56
Ho5 0.5002 0.1658 0.6938  7 Tb 3.51-3.60, 4 Ho 3.53-3.57, 1 Pr 3.55
Tb4 0.4988 0.1644 0.1950  5 Ho 3.52-3.61, 6 Tb 3.52-3.61, 1 Pr 3.56
Tb5 0.8304 0.1646 0.9733  7 Tb 3.52-3.61, 4 Ho 3.54-3.61, 1 Pr 3.55
Ho6 0.1679 0.1674 0.5830  6 Ho 3.54-3.59, 3 Tb 3.55-3.56, 3 Pr 3.58-3.59
Ho7 0.8350 0.5006 0.3622  7 Tb 3.52-3.61, 4 Ho 3.53-3.57, 1 Pr 3.56
Tb6 0.5012 0.8356 0.8050  5 Ho 3.52-3.61, 6 Tb 3.52-3.61, 1 Pr 3.56
Ho8 0.1663 0.1669 0.0836  5 Tb 3.54-3.55, 4 Ho 3.54-3.59, 3 Pr 3.58-3.59
Tb7 0.1696 0.8354 0.0267  7 Tb 3.52-3.61, 4 Ho 3.54-3.61, 1 Pr 3.55
Tb8 0.1694 0.8345 0.5269  8 Ho 3.51-3.60, 3 Tb 3.52-3.60, 1 Pr 3.56

Here is a relaxed Tb4Pr3Ho3 crystal from the Alexandria database. Energies are from PBE-GGA.

V, Å³ per cell: 335
ΔE_f, eV per atom: 0.10
Size of the total moment, μB per cell: 0.0
Symmetry: Amm2, No. 38

Cell: 3.7189 9.4859 9.4859 Å, 90.42 90.00 90.00°
Last column: nearest neighbours and their distance in Å.
Fractional positions:
Pr1 0.5000 0.6728 0.6746  6 Tb 3.27-3.43
Ho1 0.5000 0.1738 0.8262  6 Tb 3.25-3.39
Tb1 0.0000 0.8783 0.8715  4 Pr 3.27-3.45, 1 Tb 3.34, 2 Ho 3.39
Tb2 0.0000 0.1285 0.1217  4 Pr 3.27-3.45, 1 Tb 3.34, 2 Ho 3.39
Ho2 0.0000 0.4935 0.9976  4 Tb 3.67-3.85, 4 Ho 3.72-3.90, 6 Pr 3.98-4.02
Pr2 0.5000 0.3254 0.3272  6 Tb 3.27-3.43
Ho3 0.0000 0.0024 0.5065  4 Tb 3.67-3.85, 4 Ho 3.72-3.90, 6 Pr 3.98-4.02
Tb3 0.0000 0.3718 0.6282  2 Ho 3.25, 1 Tb 3.43, 4 Pr 3.43
Tb4 0.0000 0.6262 0.3738  6 Pr 3.28-3.43, 1 Tb 3.43
Pr3 0.5000 0.8273 0.1727  6 Tb 3.28-3.45

Here is a relaxed Tb7Pr16Ho6 crystal from the Alexandria database. Energies are from PBE-GGA.

V, Å³ per cell: 1042
ΔE_f, eV per atom: 0.21
Size of the total moment, μB per cell: 0.0
Symmetry: Fm-3m, No. 225

Cell: 11.3811 11.3811 11.3811 Å, 60.00 60.00 60.00°
Last column: nearest neighbours and their distance in Å.
Fractional positions:
Pr1 0.1250 0.1250 0.1250  4 Tb 3.48-3.49, 3 Ho 3.61, 3 Pr 3.68
Pr2 0.6490 0.6490 0.0530  3 Tb 3.32, 3 Ho 3.67, 3 Pr 3.68
Pr3 0.6490 0.6490 0.6490  3 Tb 3.32, 3 Ho 3.67, 3 Pr 3.68
Tb1 0.5000 0.0000 0.5000  8 Pr 3.32-3.48
Pr4 0.9470 0.3510 0.3510  3 Tb 3.32, 3 Ho 3.67, 3 Pr 3.68
Pr5 0.3510 0.9470 0.3510  3 Tb 3.32, 3 Ho 3.67, 3 Pr 3.68
Pr6 0.6490 0.0530 0.6490  3 Tb 3.32, 3 Ho 3.67, 3 Pr 3.68
Pr7 0.3510 0.3510 0.3510  3 Tb 3.32, 3 Ho 3.67, 3 Pr 3.68
Pr8 0.3751 0.8750 0.8750  4 Tb 3.48-3.49, 3 Ho 3.61, 3 Pr 3.68
Pr9 0.0530 0.6490 0.6490  3 Tb 3.32, 3 Ho 3.67, 3 Pr 3.68
Ho1 0.2634 0.7366 0.2634  8 Pr 3.61-3.67, 4 Tb 4.03
Ho2 0.7366 0.7366 0.2634  8 Pr 3.61-3.67, 4 Tb 4.03
Ho3 0.2634 0.7366 0.7366  8 Pr 3.61-3.67, 4 Tb 4.03
Pr10 0.1250 0.6249 0.1250  4 Tb 3.48-3.49, 3 Ho 3.61, 3 Pr 3.68
Pr11 0.1250 0.1250 0.6249  4 Tb 3.48-3.49, 3 Ho 3.61, 3 Pr 3.68
Tb2 0.0000 0.5000 0.0000  8 Pr 3.32-3.48
Pr12 0.8750 0.3751 0.8750  4 Tb 3.48-3.49, 3 Ho 3.61, 3 Pr 3.68
Ho4 0.7366 0.2634 0.7366  8 Pr 3.61-3.67, 4 Tb 4.03
Ho5 0.2634 0.2634 0.7366  8 Pr 3.61-3.67, 4 Tb 4.03
Ho6 0.7366 0.2634 0.2634  8 Pr 3.61-3.67, 4 Tb 4.03
Tb3 0.0000 0.0000 0.5000  8 Pr 3.32-3.48
Tb4 0.0000 0.0000 0.0000  8 Pr 3.49
Pr13 0.8750 0.8750 0.8750  4 Tb 3.48-3.49, 3 Ho 3.61, 3 Pr 3.68
Pr14 0.3510 0.3510 0.9470  3 Tb 3.32, 3 Ho 3.67, 3 Pr 3.68
Tb5 0.5000 0.0000 0.0000  8 Pr 3.32-3.48
Pr15 0.6249 0.1250 0.1250  4 Tb 3.48-3.49, 3 Ho 3.61, 3 Pr 3.68
Tb6 0.5000 0.5000 0.0000  8 Pr 3.32-3.48
Pr16 0.8750 0.8750 0.3751  4 Tb 3.48-3.49, 3 Ho 3.61, 3 Pr 3.68
Tb7 0.0000 0.5000 0.5000  8 Pr 3.32-3.48